# 1
Material: La2ZnSe
Method: DFT, PBE
State: relaxed

extended XYZ file:
```
4
Lattice="3.612 0.000 0.000 0.000 5.340 0.000 0.000 0.000 5.396" Properties=species:S:1:pos:R:3 pbc="T T T"
La 0.000 0.000 0.000
La 0.000 2.670 2.698
Zn 1.806 0.000 2.698
Se 1.806 2.670 0.000
```

Energy above the lowest structure with this stoichiometry   0.174 eV per atom
ΔE_f (raw)   -931 meV per atom

---

# 2
Material: LaZr4Se8
Method: DFT, PBE
State: relaxed

extended XYZ file:
```
13
Lattice="3.793 2.190 7.135 -3.793 2.190 7.135 0.000 -4.380 7.135" Properties=species:S:1:pos:R:3 pbc="T T T"
La 0.000 0.000 0.000
Zr -3.793 0.000 10.702
Zr -1.896 1.095 3.567
Zr 1.896 1.095 3.567
Zr 0.000 0.000 10.702
Se 0.000 0.000 5.162
Se -1.849 -1.068 12.354
Se 0.000 -2.135 9.051
Se -1.849 1.068 9.051
Se 1.849 -1.068 12.354
Se 0.000 2.135 12.354
Se 1.849 1.068 9.051
Se 0.000 0.000 16.243
```

ΔE_f (raw)   -1494 meV per atom

---

# 3
Material: LaZr2Se
Method: DFT, PBE
State: relaxed

extended XYZ file:
```
8
Lattice="10.413 0.000 0.000 0.000 3.573 0.000 -3.026 0.000 5.260" Properties=species:S:1:pos:R:3 pbc="T T T"
La 0.000 0.000 0.000
La 5.207 1.787 0.000
Zr -0.333 0.000 4.159
Zr 2.915 0.000 2.218
Zr 4.873 1.787 4.159
Zr 8.122 1.787 2.218
Se 0.739 1.787 2.398
Se 5.946 0.000 2.398
```

ΔE_f (raw)   -526 meV per atom

---

# 4
Material: La2ZrSe4
Method: DFT, PBE
State: relaxed

extended XYZ file:
```
14
Lattice="5.095 0.000 0.000 0.000 5.095 0.000 0.000 0.000 15.319" Properties=species:S:1:pos:R:3 pbc="T T T"
La 0.000 0.000 2.041
La 0.000 0.000 13.278
La 2.547 2.547 5.619
La 2.547 2.547 9.700
Zr 0.000 0.000 7.660
Zr 2.547 2.547 0.000
Se 0.000 0.000 4.902
Se 0.000 0.000 10.417
Se 0.000 2.547 0.000
Se 0.000 2.547 7.660
Se 2.547 0.000 0.000
Se 2.547 0.000 7.660
Se 2.547 2.547 2.758
Se 2.547 2.547 12.561
```

Energy above the lowest structure with this stoichiometry   0.048 eV per atom
ΔE_f (raw)   -1532 meV per atom

---

# 5
Material: LaZrSe
Method: DFT, PBE
State: relaxed

extended XYZ file:
```
6
Lattice="3.628 0.000 0.000 0.000 3.628 0.000 0.000 0.000 11.763" Properties=species:S:1:pos:R:3 pbc="T T T"
La 0.000 0.000 0.000
La 1.814 1.814 5.882
Zr 0.000 0.000 8.148
Zr 1.814 1.814 2.266
Se 0.000 0.000 3.363
Se 1.814 1.814 9.244
```

Energy above the lowest structure with this stoichiometry   0.017 eV per atom
ΔE_f (raw)   -829 meV per atom

---

# 6
Material: La2ZrSe
Method: DFT, PBE
State: relaxed

extended XYZ file:
```
16
Lattice="7.486 0.000 0.000 0.000 7.486 0.000 0.000 0.000 7.486" Properties=species:S:1:pos:R:3 pbc="T T T"
La 0.000 0.000 0.000
La 0.000 3.743 3.743
La 1.871 1.871 1.871
La 1.871 5.614 5.614
La 3.743 0.000 3.743
La 3.743 3.743 0.000
La 5.614 1.871 5.614
La 5.614 5.614 1.871
Zr 1.871 1.871 5.614
Zr 1.871 5.614 1.871
Zr 5.614 1.871 1.871
Zr 5.614 5.614 5.614
Se 0.000 0.000 3.743
Se 0.000 3.743 0.000
Se 3.743 0.000 0.000
Se 3.743 3.743 3.743
```

ΔE_f (raw)   -119 meV per atom

---

Which of these has the lowest ΔE_f (raw)?
La2ZrSe4

---

Please write out number 4 again, unchanged.
Material: La2ZrSe4
Method: DFT, PBE
State: relaxed

extended XYZ file:
```
14
Lattice="5.095 0.000 0.000 0.000 5.095 0.000 0.000 0.000 15.319" Properties=species:S:1:pos:R:3 pbc="T T T"
La 0.000 0.000 2.041
La 0.000 0.000 13.278
La 2.547 2.547 5.619
La 2.547 2.547 9.700
Zr 0.000 0.000 7.660
Zr 2.547 2.547 0.000
Se 0.000 0.000 4.902
Se 0.000 0.000 10.417
Se 0.000 2.547 0.000
Se 0.000 2.547 7.660
Se 2.547 0.000 0.000
Se 2.547 0.000 7.660
Se 2.547 2.547 2.758
Se 2.547 2.547 12.561
```

Energy above the lowest structure with this stoichiometry   0.048 eV per atom
ΔE_f (raw)   -1532 meV per atom

---

The highest ΔE_f (raw) belongs to which entry?
La2ZrSe